## TbMnTe (GGA-PBE)

Data for crystalline TbMnTe at its relaxed geometry.

a b c (Å): 5.8649 5.8636 7.6548
angles (deg): 90.00 90.06 90.00
Space group C2/m (No. 12)
One atom of each set of equivalent atoms:
Tb: 0.2501 0.0000 0.1517 x4
Mn: 0.0000 0.2502 0.5000 x4
Te: 0.2498 0.0000 0.7344 x4

Results
For the spin magnetization, the calculation gives 1.0217 μB/atom. The value obtained for the density of states at the Fermi level is 10.7 states/eV per cell. Its uncorrected formation energy is -11.59 kcal/mol of atoms.